Here is a geometry-optimized Pm4RuC2 structure from Alexandria. Energies are from PBE.

The structure in extended XYZ format:
```
7
Lattice="2.3473 1.3552 7.3230 -2.3473 1.3552 7.3230 0.0000 -2.7104 7.3230" Properties=species:S:1:pos:R:3 pbc="T T T"
Pm 0.0000 0.0000 2.4507
Pm 0.0000 0.0000 6.3404
Pm 0.0000 0.0000 15.6287
Pm 0.0000 0.0000 19.5184
Ru 0.0000 0.0000 10.9845
C 0.0000 0.0000 8.8717
C 0.0000 0.0000 13.0974
```

Calculated values
The calculation puts the formation energy at 0.022 eV per atom. As for the calculated volume: 19.97 A^3/atom.

---

Here is a geometry-optimized Pm4RuC structure from Alexandria. Energies are from PBE.

The structure in extended XYZ format:
```
12
Lattice="-4.5598 4.5598 3.9841 4.5598 -4.5598 3.9841 4.5598 4.5598 -3.9841" Properties=species:S:1:pos:R:3 pbc="T T T"
Pm 4.5598 1.7269 -0.2451
Pm 2.8329 4.5598 -2.2372
Pm 1.7269 0.0000 1.7469
Pm 0.0000 2.7643 0.0000
Pm 0.0000 6.3553 0.0000
Pm 2.7643 4.5598 1.9921
Pm 1.7955 0.0000 5.9762
Pm 0.0000 2.8329 3.7390
Ru 4.5598 0.0000 1.8637
Ru 0.0000 0.0000 3.8558
C 0.0000 4.5598 1.8206
C 0.0000 0.0000 7.7968
```

Calculated values
The calculation puts the formation energy at -0.050 eV per atom. As for the calculated volume: 27.61 A^3/atom.